# 1
{
  "formula": "Er4In3Hg",
  "functional": "PBE",
  "state": "relaxed",
  "m_tot_mub_per_fu": 0.0,
  "space_group": "Pmm2, No. 25",
  "total_energy_ev_per_cell": -30.1,
  "relative_energy_mev_per_atom": 31,
  "lattice_angstrom": [[-0.8764, 1.7106, -3.2328], [3.4345, -2.4316, -2.2177], [-7.7494, -8.6750, -2.4894]],
  "species": ["Er", "Er", "Er", "Er", "In", "In", "In", "Hg"],
  "fractional_positions": [[0.5000, 0.5000, 0.3410], [0.0000, 0.5000, 0.8467], [0.0000, 0.0000, 0.1518], [0.5000, 0.0000, 0.6571], [0.0000, 0.5000, 0.5793], [0.0000, 0.0000, 0.4194], [0.5000, 0.0000, 0.9218], [0.5000, 0.5000, 0.0830]]
}

=====

# 2
{
  "formula": "Ba2TePIr",
  "functional": "PBE",
  "state": "relaxed",
  "m_tot_mub_per_fu": 0.0,
  "space_group": "P4/mmm, No. 123",
  "total_energy_ev_per_cell": -26.1,
  "relative_energy_mev_per_atom": 0,
  "formation_energy_uncorrected_ev_per_atom": -0.978,
  "lattice_angstrom": [[6.2498, 0.0000, 0.0000], [0.0000, 6.2498, 0.0000], [0.0000, 0.0000, 4.4047]],
  "species": ["P", "Ir", "Te", "Ba", "Ba"],
  "fractional_positions": [[0.0000, 0.0000, 0.5000], [0.0000, 0.0000, 0.0000], [0.5000, 0.5000, 0.5000], [0.0000, 0.5000, 0.0000], [0.5000, 0.0000, 0.0000]]
}

=====

# 3
{
  "formula": "LiZr2GeRh",
  "functional": "PBE",
  "state": "relaxed",
  "m_tot_mub_per_fu": 0.0,
  "space_group": "P4/mmm, No. 123",
  "total_energy_ev_per_cell": -30.4,
  "lattice_angstrom": [[4.9707, 0.0000, 0.0000], [0.0000, 4.4133, 0.0000], [0.0000, 0.0000, 4.9707]],
  "species": ["Ge", "Rh", "Zr", "Zr", "Li"],
  "fractional_positions": [[0.5000, 0.5000, 0.5000], [0.0000, 0.0000, 0.0000], [0.0000, 0.0000, 0.5000], [0.5000, 0.0000, 0.0000], [0.0000, 0.5000, 0.0000]]
}